(1)
## ZrBeAs2N (PBE)

Data for ZrBeAs2N after structural relaxation.

Unit cell a=5.120 b=5.120 c=2.997 alpha=90.00 beta=90.00 gamma=90.00
Space group P4/mmm (No. 123)
One atom of each set of equivalent atoms:
Zr  0.000  0.000  0.000 x1
Be  0.500  0.500  0.500 x1
As  0.000  0.500  0.500 x2
N  0.500  0.500  0.000 x1

size of the total moment: 0.000 Bohr magnetons per cell
E: -5.90 eV per atom
volume: 15.7 Å³ per atom
raw formation energy: 0.4 eV per formula unit

=====

(2)
## Na3BeAs2 (PBE)

Data for Na3BeAs2 after structural relaxation.

Unit cell a=14.112 b=3.959 c=11.150 alpha=90.00 beta=108.09 gamma=90.00
Space group C2/m (No. 12)
One atom of each set of equivalent atoms:
Na  0.062  0.000  0.255 x4
Na  0.157  0.500  0.998 x4
Na  0.220  0.000  0.601 x4
Be  0.090  0.500  0.693 x4
As  0.073  0.500  0.460 x4
As  0.147  0.000  0.803 x4

DFT formation energy: -0.205 eV per atom
size of the total moment: 0.000 Bohr magnetons per cell
E: -3.03 eV per atom
volume: 24.7 Å³ per atom

=====

(3)
## NaBe3As2 (PBE)

Data for NaBe3As2 after structural relaxation.

Unit cell a=14.600 b=3.639 c=8.261 alpha=90.00 beta=116.85 gamma=90.00
Space group C2/m (No. 12)
One atom of each set of equivalent atoms:
Na  0.129  0.000  0.045 x4
Be  0.090  0.500  0.609 x4
Be  0.125  0.000  0.444 x4
Be  0.210  0.500  0.400 x4
As  0.036  0.500  0.285 x4
As  0.191  0.000  0.749 x4

DFT formation energy: -0.162 eV per atom
size of the total moment: 0.000 Bohr magnetons per cell
E: -3.80 eV per atom
volume: 16.3 Å³ per atom

=====

(4)
## NaBe6As4 (PBE)

Data for NaBe6As4 after structural relaxation.

Unit cell a=3.704 b=3.704 c=25.069 alpha=90.00 beta=90.00 gamma=90.00
Space group I4/mmm (No. 139)
One atom of each set of equivalent atoms:
Na  0.000  0.000  0.000 x2
Be  0.000  0.500  0.127 x8
Be  0.000  0.500  0.250 x4
As  0.000  0.000  0.193 x4
As  0.000  0.000  0.422 x4

DFT formation energy: -0.047 eV per atom
size of the total moment: 0.000 Bohr magnetons per cell
E: -3.89 eV per atom
volume: 15.6 Å³ per atom

=====

(5)
## Na2BeAs2 (PBE)

Data for Na2BeAs2 after structural relaxation.

Unit cell a=6.356 b=6.356 c=4.845 alpha=90.00 beta=90.00 gamma=90.00
Space group P4/mbm (No. 127)
One atom of each set of equivalent atoms:
Na  0.170  0.330  0.000 x4
Be  0.000  0.000  0.500 x2
As  0.143  0.643  0.500 x4

DFT formation energy: -0.192 eV per atom
size of the total moment: 0.000 Bohr magnetons per cell
E: -3.33 eV per atom
volume: 19.6 Å³ per atom

=====

(6)
## Na5Be4As4 (PBE)

Data for Na5Be4As4 after structural relaxation.

Unit cell a=11.275 b=11.275 c=3.834 alpha=90.00 beta=90.00 gamma=90.00
Space group I4/m (No. 87)
One atom of each set of equivalent atoms:
Na  0.000  0.000  0.000 x2
Na  0.143  0.798  0.500 x8
Be  0.069  0.399  0.500 x8
As  0.042  0.289  0.000 x8

DFT formation energy: -0.269 eV per atom
size of the total moment: 0.000 Bohr magnetons per cell
E: -3.35 eV per atom
volume: 18.7 Å³ per atom

=====

(7)
## NaBe2As2 (PBE)

Data for NaBe2As2 after structural relaxation.

Unit cell a=3.599 b=3.599 c=6.719 alpha=90.00 beta=90.00 gamma=90.00
Space group P4/mmm (No. 123)
One atom of each set of equivalent atoms:
Na  0.000  0.000  0.000 x1
Be  0.000  0.500  0.500 x2
As  0.500  0.500  0.276 x2

DFT formation energy: -0.047 eV per atom
size of the total moment: 0.000 Bohr magnetons per cell
E: -3.66 eV per atom
volume: 17.4 Å³ per atom

=====

(8)
## Na4BeAs2 (PBE)

Data for Na4BeAs2 after structural relaxation.

Unit cell a=5.0600 b=5.0600 c=24.1197 alpha=90.00 beta=90.00 gamma=120.00
Space group R-3m (No. 166, hexagonal axes)
One atom of each set of equivalent atoms:
Na  0.0000  0.0000  0.1143 x6
Na  0.0000  0.0000  0.2903 x6
Be  0.0000  0.0000  0.5000 x3
As  0.0000  0.0000  0.4139 x6

DFT formation energy: -0.387 eV per atom
size of the total moment: 0.000 Bohr magnetons per cell
E: -3.00 eV per atom
volume: 25.5 Å³ per atom

=====

(9)
## Na4Be5As6 (PBE)

Data for Na4Be5As6 after structural relaxation.

Unit cell a=3.782 b=17.740 c=16.369 alpha=90.00 beta=90.00 gamma=90.00
Space group Cmcm (No. 63)
One atom of each set of equivalent atoms:
Na  0.000  0.010  0.122 x8
Na  0.000  0.187  0.069 x8
Be  0.000  0.125  0.750 x4
Be  0.000  0.270  0.750 x4
Be  0.000  0.376  0.133 x8
Be  0.000  0.419  0.750 x4
As  0.000  0.145  0.250 x4
As  0.000  0.197  0.633 x8
As  0.000  0.432  0.006 x8
As  0.000  0.453  0.250 x4

DFT formation energy: -0.256 eV per atom
size of the total moment: 0.000 Bohr magnetons per cell
E: -3.71 eV per atom
volume: 18.3 Å³ per atom

=====

(10)
## Na2BeAs2 (PBE)

Data for Na2BeAs2 after structural relaxation.

Unit cell a=6.391 b=12.512 c=5.506 alpha=90.00 beta=90.00 gamma=90.00
Space group Ibam (No. 72)
One atom of each set of equivalent atoms:
Na  0.175  0.150  0.000 x8
Be  0.000  0.500  0.250 x4
As  0.199  0.398  0.000 x8

DFT formation energy: -0.188 eV per atom
size of the total moment: 0.000 Bohr magnetons per cell
E: -3.32 eV per atom
volume: 22.0 Å³ per atom

=====

(11)
## NaBe5As4 (PBE)

Data for NaBe5As4 after structural relaxation.

Unit cell a=7.199 b=8.577 c=5.117 alpha=90.00 beta=90.00 gamma=90.00
Space group Pmmn (No. 59, origin choice 2)
One atom of each set of equivalent atoms:
Na  0.250  0.250  0.008 x2
Be  0.008  0.010  0.745 x8
Be  0.250  0.750  0.733 x2
As  0.020  0.250  0.502 x4
As  0.250  0.556  0.015 x4

DFT formation energy: 0.058 eV per atom
size of the total moment: 0.000 Bohr magnetons per cell
E: -3.80 eV per atom
volume: 15.8 Å³ per atom

=====

(12)
## NaBe2As2 (PBE)

Data for NaBe2As2 after structural relaxation.

Unit cell a=3.534 b=3.534 c=14.145 alpha=90.00 beta=90.00 gamma=90.00
Space group I4/mmm (No. 139)
One atom of each set of equivalent atoms:
Na  0.000  0.000  0.000 x2
Be  0.000  0.500  0.250 x4
As  0.000  0.000  0.354 x4

DFT formation energy: -0.284 eV per atom
size of the total moment: 0.000 Bohr magnetons per cell
E: -3.90 eV per atom
volume: 17.7 Å³ per atom